PBE ReAs3N, relaxed; formation energy (no corrections) = 151.3 kJ/mol of atoms; space-group type = Pm-3m (221); raw total energy = -26.88 eV for the cell shown; volume = 21.47 A^3/atom
1.0
-0.912 -3.700 -2.840
2.560 -2.816 2.847
-3.899 -0.983 2.534
N As Re
1 3 1
Cartesian
-1.125 -3.750 1.271
1.280 -1.408 1.423
-1.949 -0.492 1.267
-0.456 -1.850 -1.420
0.000 0.000 0.000

PBE Re3AsN, relaxed; formation energy (no corrections) = 67.7 kJ/mol of atoms; space-group type = Pm-3m (221); energy above the most stable polymorph in this dataset = 0.00 eV per formula unit; raw total energy = -46.81 eV for the cell shown; volume = 13.89 A^3/atom
1.0
-1.069 3.833 -1.030
-3.663 -0.542 1.784
1.528 1.382 3.557
N Re As
1 3 1
Cartesian
0.000 0.000 0.000
-1.832 -0.271 0.892
0.764 0.691 1.779
-0.534 1.917 -0.515
-1.602 2.337 2.156

PBE Re2AsN, relaxed; formation energy (no corrections) = 95.6 kJ/mol of atoms; space-group type = Fm-3m (225); energy above the most stable polymorph in this dataset = 2.09 eV per formula unit; raw total energy = -33.91 eV for the cell shown; volume = 12.74 A^3/atom
1.0
0.000 2.942 2.942
2.942 0.000 2.942
2.942 2.942 0.000
Re As N
2 1 1
Cartesian
4.414 4.414 4.414
1.471 1.471 1.471
2.942 2.942 2.942
0.000 0.000 0.000

PBE ReAsN3, relaxed; formation energy (no corrections) = 179.5 kJ/mol of atoms; space-group type = Pm-3m (221); raw total energy = -32.77 eV for the cell shown; volume = 10.14 A^3/atom
1.0
-0.387 -1.024 -3.536
1.501 -3.290 0.789
-3.361 -1.351 0.759
N Re As
3 1 1
Cartesian
0.750 -1.645 0.394
-1.681 -0.676 0.380
-0.194 -0.512 -1.768
-1.124 -2.833 -0.994
0.000 0.000 0.000

The records above give, respectively, total magnetic moment values of 0.0; 0.0; 0.0; 1.8 μB/f.u..